No. 1
CaCu2Ag: optimized geometry, GGA-PBE.

For the relative energy among the computed polymorphs, the calculation gives 0.44 eV per formula unit. The density comes out at 6.296 g cm⁻³. Its total energy is -25.8 eV for the cell shown. Its calculated formation energy is 0.736 kcal/mol of atoms.

It has space group I-4m2 (No. 119), with a = 4.288 Å, b = 4.288 Å, c = 7.891 Å, α = 90.00°, β = 90.00° and γ = 90.00°. The distinct sites, in fractional coordinates, are Ca at (0.000, 0.000, 0.000), Cu at (0.000, 0.000, 0.500), Cu at (0.000, 0.500, 0.750) and Ag at (0.000, 0.500, 0.250).

No. 2
InRu: optimized geometry, GGA-PBE.

The density comes out at 9.610 g cm⁻³. Its total energy is -92.1 eV for the cell shown. Its calculated formation energy is 5.744 kcal/mol of atoms.

It has space group I4/mmm (No. 139), with a = 8.638 Å, b = 8.638 Å, c = 4.000 Å, α = 90.00°, β = 90.00° and γ = 90.00°. The distinct sites, in fractional coordinates, are In at (0.165, 0.165, 0.000) and Ru at (0.000, 0.349, 0.500).

No. 3
PmDyHg4: optimized geometry, GGA-PBE.

For the relative energy among the computed polymorphs, the calculation gives 0.00 eV per formula unit. The density comes out at 11.946 g cm⁻³. Its total energy is -25.3 eV for the cell shown. Its calculated formation energy is -8.069 kcal/mol of atoms.

It has space group C2/m (No. 12), with a = 10.798 Å, b = 3.894 Å, c = 7.855 Å, α = 90.00°, β = 110.89° and γ = 90.00°. The distinct sites, in fractional coordinates, are Pm at (0.000, 0.000, 0.000), Dy at (0.000, 0.000, 0.500), Hg at (0.168, 0.500, 0.341) and Hg at (0.168, 0.500, 0.827).

No. 4
NaIr2O8: optimized geometry, GGA-PBE.

Its energy relative to the elements, uncorrected is -0.236 eV per atom. The density comes out at 6.548 g cm⁻³. Its total energy is -61.3 eV for the cell shown.

It has space group P4/mmm (No. 123), with a = 4.723 Å, b = 4.723 Å, c = 6.087 Å, α = 90.00°, β = 90.00° and γ = 90.00°. The distinct sites, in fractional coordinates, are Na at (0.000, 0.000, 0.000), Ir at (0.000, 0.500, 0.500) and O at (0.249, 0.249, 0.306).

No. 5
La2ZnCo: optimized geometry, GGA-PBE.

The density comes out at 6.913 g cm⁻³. Its total energy is -18.8 eV for the cell shown. Its calculated formation energy is -3.208 kcal/mol of atoms.

It has space group P2/m (No. 10), with a = 3.731 Å, b = 3.623 Å, c = 7.215 Å, α = 90.00°, β = 97.99° and γ = 90.00°. The distinct sites, in fractional coordinates, are La at (0.081, 0.000, 0.276), Zn at (0.500, 0.500, 0.000) and Co at (0.500, 0.500, 0.500).

No. 6
ZnFe2Ag: optimized geometry, GGA-PBE.

The density comes out at 8.511 g cm⁻³. Its total energy is -20.1 eV for the cell shown. Its calculated formation energy is 5.214 kcal/mol of atoms.

It has space group P2/m (No. 10), with a = 2.685 Å, b = 3.856 Å, c = 5.371 Å, α = 90.00°, β = 90.51° and γ = 90.00°. The distinct sites, in fractional coordinates, are Zn at (0.000, 0.000, 0.000), Fe at (0.498, 0.500, 0.229) and Ag at (0.000, 0.000, 0.500).